# 1
Compound: LaPm12Er5
Source: the Alexandria database
Functional: GGA-PBE
Structure: optimized geometry

Structure (CIF):
```
data_LaPm12Er5
_chemical_formula_sum 'La2 Pm24 Er10'
_cell_length_a 12.1701
_cell_length_b 17.1052
_cell_length_c 5.7927
_cell_angle_alpha 90.00
_cell_angle_beta 90.00
_cell_angle_gamma 90.00
_symmetry_space_group_name_H-M 'C 1 2/m 1'
_symmetry_Int_Tables_number 12
loop_
_symmetry_equiv_pos_as_xyz
'x,y,z'
'-x,-y,-z'
'-x,y,-z'
'x,-y,z'
'x+1/2,y+1/2,z'
'-x+1/2,-y+1/2,-z'
'-x+1/2,y+1/2,-z'
'x+1/2,-y+1/2,z'
loop_
_atom_site_label
_atom_site_type_symbol
_atom_site_fract_x
_atom_site_fract_y
_atom_site_fract_z
_atom_site_occupancy
La1 La 0.0000 0.0000 0.0000 1
Pm1 Pm 0.1498 0.1800 0.0002 1
Pm2 Pm 0.1497 0.3204 0.4997 1
Pm3 Pm 0.1952 0.5000 0.0020 1
Pm4 Pm 0.2043 0.0000 0.4979 1
Er1 Er 0.0000 0.1388 0.5000 1
Er2 Er 0.0000 0.3627 0.0000 1
Er3 Er 0.0000 0.5000 0.5000 1
```

Computed properties:
Energy relative to the elements in eV per atom: 0.09



# 2
Compound: Ta2Nb2In
Source: the Alexandria database
Functional: GGA-PBE
Structure: optimized geometry

Structure (CIF):
```
data_Ta2Nb2In
_chemical_formula_sum 'Ta4 Nb4 In2'
_cell_length_a 13.8429
_cell_length_b 4.7332
_cell_length_c 2.9121
_cell_angle_alpha 90.00
_cell_angle_beta 95.16
_cell_angle_gamma 90.00
_symmetry_space_group_name_H-M 'C 1 2/m 1'
_symmetry_Int_Tables_number 12
loop_
_symmetry_equiv_pos_as_xyz
'x,y,z'
'-x,-y,-z'
'-x,y,-z'
'x,-y,z'
'x+1/2,y+1/2,z'
'-x+1/2,-y+1/2,-z'
'-x+1/2,y+1/2,-z'
'x+1/2,-y+1/2,z'
loop_
_atom_site_label
_atom_site_type_symbol
_atom_site_fract_x
_atom_site_fract_y
_atom_site_fract_z
_atom_site_occupancy
Ta1 Ta 0.2085 0.0000 0.3003 1
Nb1 Nb 0.1045 0.5000 0.9348 1
In1 In 0.0000 0.0000 0.5000 1
```

Computed properties:
Energy relative to the elements in eV per atom: 0.03
Polymorph energy (0 for the lowest one) in kJ per mole of atoms: 0.00



# 3
Compound: Np2UAs2Ru2
Source: the Alexandria database
Functional: GGA-PBE
Structure: optimized geometry

Structure (CIF):
```
data_Np2UAs2Ru2
_chemical_formula_sum 'Np6 U3 As6 Ru6'
_cell_length_a 4.2852
_cell_length_b 4.2852
_cell_length_c 24.4404
_cell_angle_alpha 90.00
_cell_angle_beta 90.00
_cell_angle_gamma 120.00
_symmetry_space_group_name_H-M 'R -3 m'
_symmetry_Int_Tables_number 166
_symmetry_space_group_name_Hall '-R 3 2"'
loop_
_atom_site_label
_atom_site_type_symbol
_atom_site_fract_x
_atom_site_fract_y
_atom_site_fract_z
_atom_site_occupancy
Np1 Np 0.0000 0.0000 0.1502 1
U1 U 0.0000 0.0000 0.0000 1
As1 As 0.0000 0.0000 0.2693 1
Ru1 Ru 0.0000 0.0000 0.4364 1
```

Computed properties:
Energy relative to the elements in eV per atom: -0.35



# 4
Compound: As3RhS
Source: the Alexandria database
Functional: GGA-PBE
Structure: optimized geometry

Structure (CIF):
```
data_As3RhS
_chemical_formula_sum 'As3 Rh1 S1'
_cell_length_a 4.6561
_cell_length_b 4.6561
_cell_length_c 4.6561
_cell_angle_alpha 90.00
_cell_angle_beta 90.00
_cell_angle_gamma 90.00
_symmetry_space_group_name_H-M 'P m -3 m'
_symmetry_Int_Tables_number 221
_symmetry_space_group_name_Hall '-P 4 2 3'
loop_
_atom_site_label
_atom_site_type_symbol
_atom_site_fract_x
_atom_site_fract_y
_atom_site_fract_z
_atom_site_occupancy
As1 As 0.0000 0.0000 0.5000 1
Rh1 Rh 0.5000 0.5000 0.5000 1
S1 S 0.0000 0.0000 0.0000 1
```

Computed properties:
ΔE_f (raw) in eV per atom: 0.897
Polymorph energy (0 for the lowest one) in kJ per mole of atoms: 25.36



# 5
Compound: PrZnCdRh
Source: the Alexandria database
Functional: GGA-PBE
Structure: optimized geometry

Structure (CIF):
```
data_PrZnCdRh
_chemical_formula_sum 'Pr4 Zn4 Cd4 Rh4'
_cell_length_a 6.9299
_cell_length_b 6.9299
_cell_length_c 6.9299
_cell_angle_alpha 90.00
_cell_angle_beta 90.00
_cell_angle_gamma 90.00
_symmetry_space_group_name_H-M 'F -4 3 m'
_symmetry_Int_Tables_number 216
_symmetry_space_group_name_Hall 'F -4 2 3'
loop_
_atom_site_label
_atom_site_type_symbol
_atom_site_fract_x
_atom_site_fract_y
_atom_site_fract_z
_atom_site_occupancy
Pr1 Pr 0.0000 0.0000 0.0000 1
Zn1 Zn 0.2500 0.2500 0.2500 1
Cd1 Cd 0.0000 0.0000 0.5000 1
Rh1 Rh 0.2500 0.2500 0.7500 1
```

Computed properties:
Energy relative to the elements in eV per atom: -0.29



# 6
Compound: GePtO2F
Source: the Alexandria database
Functional: GGA-PBE
Structure: optimized geometry

Structure (CIF):
```
data_GePtO2F
_chemical_formula_sum 'Ge1 Pt1 O2 F1'
_cell_length_a 3.8539
_cell_length_b 3.8539
_cell_length_c 3.9106
_cell_angle_alpha 90.00
_cell_angle_beta 90.00
_cell_angle_gamma 90.00
_symmetry_space_group_name_H-M 'P 4/m m m'
_symmetry_Int_Tables_number 123
_symmetry_space_group_name_Hall '-P 4 2'
loop_
_atom_site_label
_atom_site_type_symbol
_atom_site_fract_x
_atom_site_fract_y
_atom_site_fract_z
_atom_site_occupancy
Ge1 Ge 0.0000 0.0000 0.0000 1
Pt1 Pt 0.5000 0.5000 0.5000 1
O1 O 0.0000 0.5000 0.0000 1
F1 F 0.0000 0.0000 0.5000 1
```

Computed properties:
ΔE_f (raw) in eV per atom: -0.389



Number 1: E -166.4 eV/cell. Number 2: E -92.9 eV/cell. Number 3: E -202.4 eV/cell. Number 4: E -20.9 eV/cell. Number 5: E -61.9 eV/cell. Number 6: E -24.4 eV/cell.